DFT (PBE-GGA) results for TbPd3 after structural relaxation.

DFT formation energy   -0.885 eV per atom
Total magnetization   0.000 μB/atom

Structure (CIF):
```
data_TbPd3
_space_group_name_H-M_alt 'P 1'
_space_group_IT_number 1
_space_group_name_Hall 'P 1'
_cell_length_a 4.117
_cell_length_b 4.119
_cell_length_c 4.120
_cell_angle_alpha 90.00
_cell_angle_beta 90.00
_cell_angle_gamma 90.00
loop_
_atom_site_label
_atom_site_type_symbol
_atom_site_fract_x
_atom_site_fract_y
_atom_site_fract_z
Pd1 Pd 0.000 0.000 0.500
Pd2 Pd 0.000 0.500 0.000
Pd3 Pd 0.500 0.500 0.500
Tb1 Tb 0.500 0.000 0.000
```

DFT (PBE-GGA) results for BaLuMgSe3 after structural relaxation.

Energy   -27.65 eV/f.u.
Total magnetization   0.085 μB/atom

Structure (CIF):
```
data_BaLuMgSe3
_space_group_name_H-M_alt 'P 1'
_space_group_IT_number 1
_space_group_name_Hall 'P 1'
_cell_length_a 7.571
_cell_length_b 7.571
_cell_length_c 10.655
_cell_angle_alpha 90.00
_cell_angle_beta 90.00
_cell_angle_gamma 147.95
loop_
_atom_site_label
_atom_site_type_symbol
_atom_site_fract_x
_atom_site_fract_y
_atom_site_fract_z
Se1 Se 0.427 0.573 0.250
Se2 Se 0.131 0.869 0.055
Se3 Se 0.869 0.131 0.945
Se4 Se 0.131 0.869 0.445
Se5 Se 0.573 0.427 0.750
Se6 Se 0.869 0.131 0.555
Mg1 Mg 0.032 0.968 0.250
Mg2 Mg 0.968 0.032 0.750
Lu1 Lu 0.500 0.500 0.500
Lu2 Lu 0.500 0.500 0.000
Ba1 Ba 0.250 0.750 0.750
Ba2 Ba 0.750 0.250 0.250
```

Which value of total magnetization does entry 1 give?
0.000 μB/atom